Density functional theory data (PBE-GGA) for a relaxed Ru2W crystal.

a b c (Å): 5.0123 5.0123 5.0123
angles (deg): 104.26 104.26 120.48
With the nearest neighbours (Å) after each atom.
Atoms (fractional coordinates):
Ru (0.1432, 0.6432, 0.7864)  1 Ru 2.49, 4 W 2.67
Ru (0.3568, 0.1432, 0.5000)  1 Ru 2.49, 4 W 2.67
Ru (0.6432, 0.8568, 0.5000)  1 Ru 2.49, 4 W 2.67
Ru (0.8568, 0.3568, 0.2136)  1 Ru 2.49, 4 W 2.67
W (0.2500, 0.2500, 0.0000)  2 W 2.49, 8 Ru 2.67
W (0.7500, 0.7500, 0.0000)  2 W 2.49, 8 Ru 2.67

Results
DOS at the Fermi energy	5.0	states/eV/cell
E_tot	-60.9	eV per cell
formation energy	0.35	eV per atom